Entry 1:
The following is a GGA-PBE calculation of crystalline SrLaPtRh at its relaxed geometry, from Alexandria.

## Properties
Energy of formation: -0.656 eV per atom
Magnetic moment: 0.00 μB/cell
Calculated volume: 23.95 Å³/atom
Space-group type: F-43m, No. 216

Cell lengths 5.136, 5.136, 5.136 Å; angles 60.00, 60.00, 60.00 degrees
Atoms (fractional coordinates):
La  0.000  0.000  0.000
Sr  0.500  0.500  0.500
Rh  0.250  0.250  0.250
Pt  0.750  0.750  0.750

***

Entry 2:
The following is a GGA-PBE calculation of crystalline LaThPtRh at its relaxed geometry, from Alexandria.

## Properties
Energy of formation: -1.048 eV per atom
Magnetic moment: 0.00 μB/cell
Relative energy among the computed polymorphs: 0.0 kJ/mol of atoms
Calculated volume: 24.29 Å³/atom
Space-group type: Amm2, No. 38

Cell lengths 3.928, 4.357, 6.007 Å; angles 90.00, 109.09, 90.00 degrees
Atoms (fractional coordinates):
Th  0.868  0.500  0.737
Rh  0.400  0.000  0.799
La  0.141  0.000  0.282
Pt  0.591  0.500  0.182

***

Entry 3:
The following is a GGA-PBE calculation of crystalline LaThPtRh at its relaxed geometry, from Alexandria.

## Properties
Energy of formation: -0.850 eV per atom
Magnetic moment: 0.00 μB/cell
Relative energy among the computed polymorphs: 19.1 kJ/mol of atoms
Calculated volume: 23.48 Å³/atom
Space-group type: F-43m, No. 216

Cell lengths 5.102, 5.102, 5.102 Å; angles 60.00, 60.00, 60.00 degrees
Atoms (fractional coordinates):
Rh  0.250  0.250  0.250
Th  0.500  0.500  0.500
Pt  0.750  0.750  0.750
La  0.000  0.000  0.000